Material: KSrNb
Method: DFT, PBE
State: relaxed

CIF file:
```
data_KSrNb
_symmetry_space_group_name_H-M 'P 1'
_symmetry_Int_Tables_number 1
_cell_length_a 4.451
_cell_length_b 6.472
_cell_length_c 9.953
_cell_angle_alpha 103.25
_cell_angle_beta 90.27
_cell_angle_gamma 108.87
loop_
_symmetry_equiv_pos_as_xyz
'x,y,z'
loop_
_atom_site_label
_atom_site_type_symbol
_atom_site_fract_x
_atom_site_fract_y
_atom_site_fract_z
K1 K 0.000 0.000 0.000
K2 K 0.323 0.604 0.159
Sr1 Sr 0.343 0.717 0.524
Sr2 Sr 0.658 0.333 0.719
Nb1 Nb 0.035 0.120 0.422
Nb2 Nb 0.632 0.235 0.367
```

Output
- Relative energy among the computed polymorphs: 0.3551 eV per atom
- M_tot: 0.00 μB per formula unit
- DOS at the Fermi energy: 0.833 states/eV per atom
- Formation energy from the elements: 0.700 eV per atom